# Pm2Hg4Pb3 (PBE-GGA, optimized geometry)
data_Pm2Hg4Pb3
_chemical_formula_sum 'Pm4 Hg8 Pb6'
_cell_length_a 10.324
_cell_length_b 4.732
_cell_length_c 10.483
_cell_angle_alpha 90.00
_cell_angle_beta 105.21
_cell_angle_gamma 90.00
_space_group_name_H-M_alt 'C 1 2/m 1'
_space_group_IT_number 12
loop_
_space_group_symop_operation_xyz
'x,y,z'
'-x,-y,-z'
'-x,y,-z'
'x,-y,z'
'x+1/2,y+1/2,z'
'-x+1/2,-y+1/2,-z'
'-x+1/2,y+1/2,-z'
'x+1/2,-y+1/2,z'
loop_
_atom_site_label
_atom_site_type_symbol
_atom_site_fract_x
_atom_site_fract_y
_atom_site_fract_z
Pm1 Pm 0.154 0.000 0.211
Hg1 Hg 0.009 0.500 0.673
Hg2 Hg 0.173 0.000 0.892
Pb1 Pb 0.000 0.500 0.000
Pb2 Pb 0.169 0.000 0.562
# total magnetization	0.00	μB per cell
# total energy	-0.2007	Ry/atom
# DFT formation energy	-0.305	eV per atom

# Pm5HgPb8 (PBE-GGA, optimized geometry)
data_Pm5HgPb8
_chemical_formula_sum 'Pm10 Hg2 Pb16'
_cell_length_a 9.814
_cell_length_b 9.814
_cell_length_c 9.055
_cell_angle_alpha 90.00
_cell_angle_beta 90.00
_cell_angle_gamma 90.00
_space_group_name_H-M_alt 'I -4'
_space_group_IT_number 82
loop_
_space_group_symop_operation_xyz
'x,y,z'
'y,-x,-z'
'-x,-y,z'
'-y,x,-z'
'x+1/2,y+1/2,z+1/2'
'y+1/2,-x+1/2,-z+1/2'
'-x+1/2,-y+1/2,z+1/2'
'-y+1/2,x+1/2,-z+1/2'
loop_
_atom_site_label
_atom_site_type_symbol
_atom_site_fract_x
_atom_site_fract_y
_atom_site_fract_z
Pm1 Pm 0.000 0.000 0.000
Pm2 Pm 0.119 0.711 0.370
Hg1 Hg 0.000 0.500 0.750
Pb1 Pb 0.058 0.841 0.689
Pb2 Pb 0.100 0.683 0.013
# total magnetization	0.00	μB per cell
# total energy	-0.3037	Ry/atom
# DFT formation energy	-0.295	eV per atom